w.
First-principles (GGA-PBEsol) data for Zr2TlRe after structural relaxation, as listed in Alexandria.

The structure in CIF format:
```
data_Zr2TlRe
_chemical_formula_sum 'Zr2 Tl1 Re1'
_symmetry_space_group_name_H-M 'P 4/m m m'
_symmetry_Int_Tables_number 123
_symmetry_space_group_name_Hall '-P 4 2'
_cell_length_a 3.304
_cell_length_b 3.304
_cell_length_c 7.260
_cell_angle_alpha 90.00
_cell_angle_beta 90.00
_cell_angle_gamma 90.00
loop_
_atom_site_label
_atom_site_type_symbol
_atom_site_fract_x
_atom_site_fract_y
_atom_site_fract_z
Zr1 Zr 0.000 0.000 0.215
Tl1 Tl 0.500 0.500 0.500
Re1 Re 0.500 0.500 0.000
```

=====

x.
First-principles (GGA-PBEsol) data for Zr2TlRe after structural relaxation, as listed in Alexandria.

The structure in CIF format:
```
data_Zr2TlRe
_chemical_formula_sum 'Zr8 Tl4 Re4'
_symmetry_space_group_name_H-M 'F m -3 m'
_symmetry_Int_Tables_number 225
_symmetry_space_group_name_Hall '-F 4 2 3'
_cell_length_a 6.779
_cell_length_b 6.779
_cell_length_c 6.779
_cell_angle_alpha 90.00
_cell_angle_beta 90.00
_cell_angle_gamma 90.00
loop_
_atom_site_label
_atom_site_type_symbol
_atom_site_fract_x
_atom_site_fract_y
_atom_site_fract_z
Zr1 Zr 0.250 0.250 0.250
Tl1 Tl 0.000 0.000 0.000
Re1 Re 0.000 0.000 0.500
```

=====

Q: Which of them is the least stable? A: x.

=====

w.
First-principles (GGA-PBEsol) data for Re3W after structural relaxation, as listed in Alexandria.

The structure in CIF format:
```
data_Re3W
_chemical_formula_sum 'Re9 W3'
_symmetry_space_group_name_H-M 'R -3 m'
_symmetry_Int_Tables_number 166
_symmetry_space_group_name_Hall '-R 3 2"'
_cell_length_a 2.7635
_cell_length_b 2.7635
_cell_length_c 27.1579
_cell_angle_alpha 90.00
_cell_angle_beta 90.00
_cell_angle_gamma 120.00
loop_
_atom_site_label
_atom_site_type_symbol
_atom_site_fract_x
_atom_site_fract_y
_atom_site_fract_z
Re1 Re 0.0000 0.0000 0.0000
Re2 Re 0.0000 0.0000 0.2518
W1 W 0.0000 0.0000 0.5000
```

=====

x.
First-principles (GGA-PBEsol) data for Re3W after structural relaxation, as listed in Alexandria.

The structure in CIF format:
```
data_Re3W
_chemical_formula_sum 'Re3 W1'
_symmetry_space_group_name_H-M 'P m m m'
_symmetry_Int_Tables_number 47
_symmetry_space_group_name_Hall '-P 2 2'
_cell_length_a 2.763
_cell_length_b 3.909
_cell_length_c 5.539
_cell_angle_alpha 90.00
_cell_angle_beta 90.00
_cell_angle_gamma 90.00
loop_
_atom_site_label
_atom_site_type_symbol
_atom_site_fract_x
_atom_site_fract_y
_atom_site_fract_z
Re1 Re 0.000 0.000 0.000
Re2 Re 0.500 0.500 0.245
W1 W 0.000 0.000 0.500
```

=====

Q: Which of them is the least stable? A: w.

=====

w.
First-principles (GGA-PBEsol) data for Zn2ReW after structural relaxation, as listed in Alexandria.

The structure in CIF format:
```
data_Zn2ReW
_chemical_formula_sum 'Zn4 Re2 W2'
_symmetry_space_group_name_H-M 'I m m 2'
_symmetry_Int_Tables_number 44
_symmetry_space_group_name_Hall 'I 2 -2'
_cell_length_a 3.400
_cell_length_b 4.228
_cell_length_c 7.862
_cell_angle_alpha 90.00
_cell_angle_beta 90.00
_cell_angle_gamma 90.00
loop_
_atom_site_label
_atom_site_type_symbol
_atom_site_fract_x
_atom_site_fract_y
_atom_site_fract_z
Zn1 Zn 0.000 0.000 0.000
Zn2 Zn 0.000 0.500 0.271
Re1 Re 0.000 0.500 0.760
W1 W 0.000 0.000 0.511
```

=====

x.
First-principles (GGA-PBEsol) data for Zn2ReW after structural relaxation, as listed in Alexandria.

The structure in CIF format:
```
data_Zn2ReW
_chemical_formula_sum 'Zn4 Re2 W2'
_symmetry_space_group_name_H-M 'C 1 m 1'
_symmetry_Int_Tables_number 8
_symmetry_space_group_name_Hall 'C -2y'
_cell_length_a 9.050
_cell_length_b 2.646
_cell_length_c 4.849
_cell_angle_alpha 90.00
_cell_angle_beta 96.14
_cell_angle_gamma 90.00
loop_
_atom_site_label
_atom_site_type_symbol
_atom_site_fract_x
_atom_site_fract_y
_atom_site_fract_z
Zn1 Zn 0.000 0.000 0.000
Zn2 Zn 0.246 0.000 0.787
Re1 Re 0.002 0.500 0.505
W1 W 0.248 0.500 0.284
```

=====

Q: Which of them is the least stable? A: x.

=====

w.
First-principles (GGA-PBEsol) data for Zn2ReW after structural relaxation, as listed in Alexandria.

The structure in CIF format:
```
data_Zn2ReW
_chemical_formula_sum 'Zn2 Re1 W1'
_symmetry_space_group_name_H-M 'P m m m'
_symmetry_Int_Tables_number 47
_symmetry_space_group_name_Hall '-P 2 2'
_cell_length_a 2.629
_cell_length_b 4.201
_cell_length_c 5.215
_cell_angle_alpha 90.00
_cell_angle_beta 90.00
_cell_angle_gamma 90.00
loop_
_atom_site_label
_atom_site_type_symbol
_atom_site_fract_x
_atom_site_fract_y
_atom_site_fract_z
Zn1 Zn 0.000 0.000 0.248
Re1 Re 0.500 0.500 0.000
W1 W 0.500 0.500 0.500
```

=====

x.
First-principles (GGA-PBEsol) data for Zn2ReW after structural relaxation, as listed in Alexandria.

The structure in CIF format:
```
data_Zn2ReW
_chemical_formula_sum 'Zn2 Re1 W1'
_symmetry_space_group_name_H-M 'P 4 m m'
_symmetry_Int_Tables_number 99
_symmetry_space_group_name_Hall 'P 4 -2'
_cell_length_a 3.168
_cell_length_b 3.168
_cell_length_c 5.815
_cell_angle_alpha 90.00
_cell_angle_beta 90.00
_cell_angle_gamma 90.00
loop_
_atom_site_label
_atom_site_type_symbol
_atom_site_fract_x
_atom_site_fract_y
_atom_site_fract_z
Zn1 Zn 0.000 0.000 0.000
Zn2 Zn 0.500 0.500 0.216
Re1 Re 0.000 0.000 0.496
W1 W 0.500 0.500 0.713
```

=====

Q: Which of them is the least stable? A: w.

=====

w.
First-principles (GGA-PBEsol) data for YZn2Re after structural relaxation, as listed in Alexandria.

The structure in CIF format:
```
data_YZn2Re
_chemical_formula_sum 'Y1 Zn2 Re1'
_symmetry_space_group_name_H-M 'P 4/m m m'
_symmetry_Int_Tables_number 123
_symmetry_space_group_name_Hall '-P 4 2'
_cell_length_a 2.896
_cell_length_b 2.896
_cell_length_c 7.907
_cell_angle_alpha 90.00
_cell_angle_beta 90.00
_cell_angle_gamma 90.00
loop_
_atom_site_label
_atom_site_type_symbol
_atom_site_fract_x
_atom_site_fract_y
_atom_site_fract_z
Y1 Y 0.000 0.000 0.000
Zn1 Zn 0.500 0.500 0.280
Re1 Re 0.000 0.000 0.500
```

=====

x.
First-principles (GGA-PBEsol) data for YZn2Re after structural relaxation, as listed in Alexandria.

The structure in CIF format:
```
data_YZn2Re
_chemical_formula_sum 'Y1 Zn2 Re1'
_symmetry_space_group_name_H-M 'P 4/m m m'
_symmetry_Int_Tables_number 123
_symmetry_space_group_name_Hall '-P 4 2'
_cell_length_a 3.375
_cell_length_b 3.375
_cell_length_c 5.927
_cell_angle_alpha 90.00
_cell_angle_beta 90.00
_cell_angle_gamma 90.00
loop_
_atom_site_label
_atom_site_type_symbol
_atom_site_fract_x
_atom_site_fract_y
_atom_site_fract_z
Y1 Y 0.000 0.000 0.000
Zn1 Zn 0.500 0.500 0.295
Re1 Re 0.000 0.000 0.500
```

=====

Q: Which of them is the least stable? A: w.

=====

w.
First-principles (GGA-PBEsol) data for Zn3Re after structural relaxation, as listed in Alexandria.

The structure in CIF format:
```
data_Zn3Re
_chemical_formula_sum 'Zn12 Re4'
_symmetry_space_group_name_H-M 'P n m a'
_symmetry_Int_Tables_number 62
_symmetry_space_group_name_Hall '-P 2ac 2n'
_cell_length_a 4.574
_cell_length_b 8.823
_cell_length_c 5.508
_cell_angle_alpha 90.00
_cell_angle_beta 90.00
_cell_angle_gamma 90.00
loop_
_atom_site_label
_atom_site_type_symbol
_atom_site_fract_x
_atom_site_fract_y
_atom_site_fract_z
Zn1 Zn 0.112 0.250 0.143
Zn2 Zn 0.238 0.001 0.385
Re1 Re 0.128 0.250 0.647
```

=====

x.
First-principles (GGA-PBEsol) data for Zn3Re after structural relaxation, as listed in Alexandria.

The structure in CIF format:
```
data_Zn3Re
_chemical_formula_sum 'Zn3 Re1'
_symmetry_space_group_name_H-M 'P m -3 m'
_symmetry_Int_Tables_number 221
_symmetry_space_group_name_Hall '-P 4 2 3'
_cell_length_a 4.849
_cell_length_b 4.849
_cell_length_c 4.849
_cell_angle_alpha 90.00
_cell_angle_beta 90.00
_cell_angle_gamma 90.00
loop_
_atom_site_label
_atom_site_type_symbol
_atom_site_fract_x
_atom_site_fract_y
_atom_site_fract_z
Zn1 Zn 0.000 0.000 0.500
Re1 Re 0.000 0.000 0.000
```

=====

y.
First-principles (GGA-PBEsol) data for Zn3Re after structural relaxation, as listed in Alexandria.

The structure in CIF format:
```
data_Zn3Re
_chemical_formula_sum 'Zn12 Re4'
_symmetry_space_group_name_H-M 'F m -3 m'
_symmetry_Int_Tables_number 225
_symmetry_space_group_name_Hall '-F 4 2 3'
_cell_length_a 6.035
_cell_length_b 6.035
_cell_length_c 6.035
_cell_angle_alpha 90.00
_cell_angle_beta 90.00
_cell_angle_gamma 90.00
loop_
_atom_site_label
_atom_site_type_symbol
_atom_site_fract_x
_atom_site_fract_y
_atom_site_fract_z
Zn1 Zn 0.000 0.000 0.000
Zn2 Zn 0.250 0.250 0.250
Re1 Re 0.000 0.000 0.500
```

=====

Q: Which of them is the least stable? A: x.

=====

w.
First-principles (GGA-PBEsol) data for ZrZn2Re after structural relaxation, as listed in Alexandria.

The structure in CIF format:
```
data_ZrZn2Re
_chemical_formula_sum 'Zr1 Zn2 Re1'
_symmetry_space_group_name_H-M 'P 4 m m'
_symmetry_Int_Tables_number 99
_symmetry_space_group_name_Hall 'P 4 -2'
_cell_length_a 2.761
_cell_length_b 2.761
_cell_length_c 8.199
_cell_angle_alpha 90.00
_cell_angle_beta 90.00
_cell_angle_gamma 90.00
loop_
_atom_site_label
_atom_site_type_symbol
_atom_site_fract_x
_atom_site_fract_y
_atom_site_fract_z
Zr1 Zr 0.000 0.000 0.000
Zn1 Zn 0.000 0.000 0.511
Zn2 Zn 0.500 0.500 0.731
Re1 Re 0.500 0.500 0.280
```

=====

x.
First-principles (GGA-PBEsol) data for ZrZn2Re after structural relaxation, as listed in Alexandria.

The structure in CIF format:
```
data_ZrZn2Re
_chemical_formula_sum 'Zr2 Zn4 Re2'
_symmetry_space_group_name_H-M 'C m m 2'
_symmetry_Int_Tables_number 35
_symmetry_space_group_name_Hall 'C 2 -2'
_cell_length_a 3.318
_cell_length_b 4.354
_cell_length_c 8.718
_cell_angle_alpha 90.00
_cell_angle_beta 90.00
_cell_angle_gamma 90.00
loop_
_atom_site_label
_atom_site_type_symbol
_atom_site_fract_x
_atom_site_fract_y
_atom_site_fract_z
Zr1 Zr 0.000 0.000 0.000
Zn1 Zn 0.000 0.000 0.501
Zn2 Zn 0.000 0.500 0.270
Re1 Re 0.000 0.500 0.737
```

=====

y.
First-principles (GGA-PBEsol) data for ZrZn2Re after structural relaxation, as listed in Alexandria.

The structure in CIF format:
```
data_ZrZn2Re
_chemical_formula_sum 'Zr1 Zn2 Re1'
_symmetry_space_group_name_H-M 'P 4/m m m'
_symmetry_Int_Tables_number 123
_symmetry_space_group_name_Hall '-P 4 2'
_cell_length_a 2.735
_cell_length_b 2.735
_cell_length_c 8.303
_cell_angle_alpha 90.00
_cell_angle_beta 90.00
_cell_angle_gamma 90.00
loop_
_atom_site_label
_atom_site_type_symbol
_atom_site_fract_x
_atom_site_fract_y
_atom_site_fract_z
Zr1 Zr 0.000 0.000 0.000
Zn1 Zn 0.500 0.500 0.267
Re1 Re 0.000 0.000 0.500
```

=====

Q: Which of them is the least stable? A: y.

=====

w.
First-principles (GGA-PBEsol) data for RuRh2 after structural relaxation, as listed in Alexandria.

The structure in CIF format:
```
data_RuRh2
_chemical_formula_sum 'Ru2 Rh4'
_symmetry_space_group_name_H-M 'I 4/m m m'
_symmetry_Int_Tables_number 139
_symmetry_space_group_name_Hall '-I 4 2'
_cell_length_a 2.665
_cell_length_b 2.665
_cell_length_c 11.328
_cell_angle_alpha 90.00
_cell_angle_beta 90.00
_cell_angle_gamma 90.00
loop_
_atom_site_label
_atom_site_type_symbol
_atom_site_fract_x
_atom_site_fract_y
_atom_site_fract_z
Ru1 Ru 0.000 0.000 0.000
Rh1 Rh 0.000 0.000 0.337
```

=====

x.
First-principles (GGA-PBEsol) data for RuRh2 after structural relaxation, as listed in Alexandria.

The structure in CIF format:
```
data_RuRh2
_chemical_formula_sum 'Ru4 Rh8'
_symmetry_space_group_name_H-M 'P n m a'
_symmetry_Int_Tables_number 62
_symmetry_space_group_name_Hall '-P 2ac 2n'
_cell_length_a 5.337
_cell_length_b 3.756
_cell_length_c 8.025
_cell_angle_alpha 90.00
_cell_angle_beta 90.00
_cell_angle_gamma 90.00
loop_
_atom_site_label
_atom_site_type_symbol
_atom_site_fract_x
_atom_site_fract_y
_atom_site_fract_z
Ru1 Ru 0.121 0.250 0.079
Rh1 Rh 0.125 0.250 0.416
Rh2 Rh 0.125 0.250 0.754
```

=====

y.
First-principles (GGA-PBEsol) data for RuRh2 after structural relaxation, as listed in Alexandria.

The structure in CIF format:
```
data_RuRh2
_chemical_formula_sum 'Ru8 Rh16'
_symmetry_space_group_name_H-M 'I 41/a m d'
_symmetry_Int_Tables_number 141
_cell_length_a 3.771
_cell_length_b 3.771
_cell_length_c 22.615
_cell_angle_alpha 90.00
_cell_angle_beta 90.00
_cell_angle_gamma 90.00
loop_
_symmetry_equiv_pos_as_xyz
'x,y,z'
'-x,-y,-z'
'-y+1/4,x+3/4,z+1/4'
'y+1/4,-x+3/4,-z+1/4'
'-x+1/2,-y,z+1/2'
'x+1/2,y,-z+1/2'
'y+1/4,-x+1/4,z+3/4'
'-y+1/4,x+1/4,-z+3/4'
'x,-y,-z'
'-x,y,z'
'-y+1/4,-x+1/4,-z+3/4'
'y+1/4,x+1/4,z+3/4'
'-x+1/2,y,-z+1/2'
'x+1/2,-y,z+1/2'
'y+1/4,x+3/4,-z+1/4'
'-y+1/4,-x+3/4,z+1/4'
'x+1/2,y+1/2,z+1/2'
'-x+1/2,-y+1/2,-z+1/2'
'-y+3/4,x+1/4,z+3/4'
'y+3/4,-x+1/4,-z+3/4'
'-x,-y+1/2,z'
'x,y+1/2,-z'
'y+3/4,-x+3/4,z+1/4'
'-y+3/4,x+3/4,-z+1/4'
'x+1/2,-y+1/2,-z+1/2'
'-x+1/2,y+1/2,z+1/2'
'-y+3/4,-x+3/4,-z+1/4'
'y+3/4,x+3/4,z+1/4'
'-x,y+1/2,-z'
'x,-y+1/2,z'
'y+3/4,x+1/4,-z+3/4'
'-y+3/4,-x+1/4,z+3/4'
loop_
_atom_site_label
_atom_site_type_symbol
_atom_site_fract_x
_atom_site_fract_y
_atom_site_fract_z
Ru1 Ru 0.000 0.250 0.290
Rh1 Rh 0.000 0.250 0.124
Rh2 Rh 0.000 0.250 0.791
```

=====

z.
First-principles (GGA-PBEsol) data for RuRh2 after structural relaxation, as listed in Alexandria.

The structure in CIF format:
```
data_RuRh2
_chemical_formula_sum 'Ru2 Rh4'
_symmetry_space_group_name_H-M 'I m m m'
_symmetry_Int_Tables_number 71
_symmetry_space_group_name_Hall '-I 2 2'
_cell_length_a 2.664
_cell_length_b 3.767
_cell_length_c 8.004
_cell_angle_alpha 90.00
_cell_angle_beta 90.00
_cell_angle_gamma 90.00
loop_
_atom_site_label
_atom_site_type_symbol
_atom_site_fract_x
_atom_site_fract_y
_atom_site_fract_z
Ru1 Ru 0.000 0.000 0.000
Rh1 Rh 0.000 0.000 0.336
```

=====

Q: Which of them is the least stable? A: y.